(1)
The following is a PBE-GGA calculation of an optimized crystal structure of Y2ErTm6, from Alexandria.

Summary:
**Formation enthalpy at 0 K**: 0.0455 eV per atom

abc: 3.5592 3.5592 25.6199
angles: 90.00 90.00 120.00
Last column: nearest neighbours and their distance in Å.
Element x y z (fractional)
Er  0.0000  0.0000  0.0000  6 Tm 3.45, 6 Er 3.56
Tm  0.0000  0.0000  0.4350  7 Tm 3.33-3.56, 3 Y 3.46
Tm  0.0000  0.0000  0.5650  7 Tm 3.33-3.56, 3 Y 3.46
Tm  0.3333  0.6667  0.8918  9 Tm 3.44-3.56, 3 Er 3.45
Tm  0.0000  0.0000  0.7843  9 Tm 3.44-3.56, 3 Y 3.50
Y  0.3333  0.6667  0.3262  6 Tm 3.46-3.50, 6 Y 3.56
Y  0.3333  0.6667  0.6738  6 Tm 3.46-3.50, 6 Y 3.56
Tm  0.0000  0.0000  0.2157  9 Tm 3.44-3.56, 3 Y 3.50
Tm  0.3333  0.6667  0.1082  9 Tm 3.44-3.56, 3 Er 3.45

---

(2)
The following is a PBE-GGA calculation of an optimized crystal structure of Tb12C5Cl3, from Alexandria.

Summary:
**Formation energy without anion corrections**: -0.30 eV/atom

abc: 13.4849 13.4849 13.4849
angles: 109.47 109.47 109.47
Last column: nearest neighbours and their distance in Å.
Element x y z (fractional)
Tb  0.9812  0.3863  0.2990  2 C 2.28-2.50
C  0.5000  0.5000  0.0000  6 Tb 2.50
Tb  0.7990  0.4812  0.3863  2 C 2.28-2.50
C  0.8750  0.2500  0.6250  4 Tb 2.28
C  0.5000  0.0000  0.5000  6 Tb 2.50
Tb  0.4051  0.0188  0.3178  2 C 2.28-2.50
C  0.0000  0.0000  0.0000  6 Tb 2.50
Tb  0.1137  0.7010  0.5188  2 C 2.28-2.50
Tb  0.7010  0.1137  0.0188  2 C 2.28-2.50
C  0.0000  0.5000  0.0000  6 Tb 2.50
Tb  0.8863  0.2990  0.4812  2 C 2.28-2.50
Tb  0.5188  0.3178  0.9051  2 C 2.28-2.50
Tb  0.1137  0.4127  0.0949  2 C 2.28-2.50
Cl  0.7500  0.3750  0.1250  8 Tb 3.06-3.13
C  0.3750  0.2500  0.1250  4 Tb 2.28
C  0.7500  0.6250  0.3750  4 Tb 2.28
Tb  0.2990  0.4127  0.8178  2 C 2.28-2.50
Tb  0.4812  0.7990  0.8863  2 C 2.28-2.50
C  0.0000  0.0000  0.5000  6 Tb 2.50
Cl  0.8750  0.7500  0.1250  8 Tb 3.06-3.13
Cl  0.6250  0.2500  0.3750  8 Tb 3.06-3.13
Tb  0.9127  0.8178  0.7990  2 C 2.28-2.50
Tb  0.3863  0.9812  0.7990  2 C 2.28-2.50
Tb  0.6822  0.4812  0.5949  2 C 2.28-2.50
C  0.6250  0.8750  0.2500  4 Tb 2.28
Tb  0.9812  0.5949  0.1822  2 C 2.28-2.50
Tb  0.9051  0.8178  0.5188  2 C 2.28-2.50
Tb  0.8178  0.9051  0.0188  2 C 2.28-2.50
C  0.1250  0.7500  0.3750  4 Tb 2.28
Tb  0.7010  0.5873  0.1822  2 C 2.28-2.50
Tb  0.5188  0.2010  0.1137  2 C 2.28-2.50
C  0.0000  0.5000  0.5000  6 Tb 2.50
Tb  0.0873  0.1822  0.2010  2 C 2.28-2.50
Tb  0.4051  0.3863  0.5873  2 C 2.28-2.50
Tb  0.2010  0.5188  0.6137  2 C 2.28-2.50
Tb  0.7990  0.3178  0.9127  2 C 2.28-2.50
Tb  0.0188  0.4051  0.8178  2 C 2.28-2.50
Tb  0.0949  0.1822  0.4812  2 C 2.28-2.50
Tb  0.6822  0.2010  0.5873  2 C 2.28-2.50
Tb  0.5873  0.8863  0.4051  2 C 2.28-2.50
Tb  0.8178  0.9127  0.2990  2 C 2.28-2.50
Tb  0.9127  0.0949  0.6137  2 C 2.28-2.50
Tb  0.1822  0.0873  0.7010  2 C 2.28-2.50
C  0.5000  0.0000  0.0000  6 Tb 2.50
C  0.6250  0.7500  0.8750  4 Tb 2.28
Tb  0.5949  0.6137  0.4127  2 C 2.28-2.50
Cl  0.8750  0.1250  0.2500  8 Tb 3.06-3.13
C  0.5000  0.5000  0.5000  6 Tb 2.50
Tb  0.0949  0.9127  0.1137  2 C 2.28-2.50
Tb  0.5873  0.7010  0.6822  2 C 2.28-2.50
Cl  0.3750  0.7500  0.6250  8 Tb 3.06-3.13
Tb  0.1822  0.0949  0.9812  2 C 2.28-2.50
Tb  0.5949  0.9812  0.6822  2 C 2.28-2.50
Tb  0.4812  0.6822  0.0949  2 C 2.28-2.50
Tb  0.8863  0.5873  0.9051  2 C 2.28-2.50
Tb  0.3178  0.7990  0.4127  2 C 2.28-2.50
Cl  0.7500  0.8750  0.6250  8 Tb 3.06-3.13
C  0.7500  0.1250  0.8750  4 Tb 2.28
Tb  0.2990  0.8863  0.9812  2 C 2.28-2.50
Tb  0.2010  0.6822  0.0873  2 C 2.28-2.50
Cl  0.1250  0.2500  0.8750  8 Tb 3.06-3.13
Tb  0.4127  0.2990  0.3178  2 C 2.28-2.50
Tb  0.0188  0.6137  0.7010  2 C 2.28-2.50
Cl  0.2500  0.1250  0.3750  8 Tb 3.06-3.13
Tb  0.6137  0.0188  0.2010  2 C 2.28-2.50
Tb  0.6137  0.5949  0.9127  2 C 2.28-2.50
Cl  0.3750  0.6250  0.2500  8 Tb 3.06-3.13
C  0.8750  0.6250  0.7500  4 Tb 2.28
Tb  0.0873  0.9051  0.3863  2 C 2.28-2.50
Tb  0.3178  0.5188  0.4051  2 C 2.28-2.50
C  0.3750  0.1250  0.7500  4 Tb 2.28
Cl  0.2500  0.6250  0.8750  8 Tb 3.06-3.13
Tb  0.9051  0.0873  0.8863  2 C 2.28-2.50
C  0.2500  0.3750  0.6250  4 Tb 2.28
C  0.1250  0.3750  0.2500  4 Tb 2.28
C  0.2500  0.8750  0.1250  4 Tb 2.28
Cl  0.6250  0.3750  0.7500  8 Tb 3.06-3.13
Tb  0.3863  0.4051  0.0873  2 C 2.28-2.50
Cl  0.1250  0.8750  0.7500  8 Tb 3.06-3.13
Tb  0.4127  0.1137  0.5949  2 C 2.28-2.50

---

(3)
The following is a PBE-GGA calculation of an optimized crystal structure of LiScIO2, from Alexandria.

Summary:
**Formation energy without anion corrections**: -1.68 eV/atom

abc: 4.0430 4.0430 6.3314
angles: 90.00 90.00 90.00
Last column: nearest neighbours and their distance in Å.
Element x y z (fractional)
O  0.5000  0.0000  0.0000  2 Sc 2.02
O  0.0000  0.5000  0.0000  2 Sc 2.02
Sc  0.0000  0.0000  0.0000  4 O 2.02
I  0.0000  0.0000  0.5000  4 Li 2.86, 2 Sc 3.17
Li  0.5000  0.5000  0.5000  4 I 2.86

---

(4)
The following is a PBE-GGA calculation of an optimized crystal structure of LaTe3O, from Alexandria.

Summary:
**Formation energy without anion corrections**: -0.78 eV/atom

abc: 4.9615 4.9615 4.9615
angles: 90.00 90.00 90.00
Last column: nearest neighbours and their distance in Å.
Element x y z (fractional)
O  0.0000  0.0000  0.0000  6 Te 2.48
Te  0.5000  0.0000  0.0000  2 O 2.48
La  0.5000  0.5000  0.5000  12 Te 3.51
Te  0.0000  0.0000  0.5000  2 O 2.48
Te  0.0000  0.5000  0.0000  2 O 2.48

---

(5)
The following is a PBE-GGA calculation of an optimized crystal structure of CsTlSCl2, from Alexandria.

Summary:
**Formation energy without anion corrections**: -0.88 eV/atom

abc: 5.6268 5.6268 5.1169
angles: 90.00 90.00 90.00
Last column: nearest neighbours and their distance in Å.
Element x y z (fractional)
Cs  0.5000  0.5000  0.5000  8 Cl 3.80, 4 S 3.98
S  0.0000  0.0000  0.5000  2 Tl 2.56
Cl  0.0000  0.5000  0.0000  2 Tl 2.81
Tl  0.0000  0.0000  0.0000  2 S 2.56, 4 Cl 2.81
Cl  0.5000  0.0000  0.0000  2 Tl 2.81

---

(6)
The following is a PBE-GGA calculation of an optimized crystal structure of GeSe2S, from Alexandria.

Summary:
**Formation energy without anion corrections**: 0.32 eV/atom

abc: 6.8556 6.8556 6.3497
angles: 57.33 57.33 90.00
Last column: nearest neighbours and their distance in Å.
Element x y z (fractional)
Ge  0.0000  0.0000  0.0000  4 Se 2.59
S  0.5000  0.5000  0.0000  4 Se 2.68
Se  0.6348  0.1250  0.2500  2 Ge 2.59, 2 S 2.68
Se  0.1152  0.6250  0.2500  2 Ge 2.59, 2 S 2.68
Se  0.3750  0.3652  0.7500  2 Ge 2.59, 2 S 2.68
Se  0.8750  0.8848  0.7500  2 Ge 2.59, 2 S 2.68
S  0.2500  0.7500  0.5000  4 Se 2.68
Ge  0.7500  0.2500  0.5000  4 Se 2.59

---

Question: Which formula does entry 2 have?
Answer: Tb12C5Cl3

---

Copy entry 4 word for word.
The following is a PBE-GGA calculation of an optimized crystal structure of LaTe3O, from Alexandria.

Summary:
**Formation energy without anion corrections**: -0.78 eV/atom

abc: 4.9615 4.9615 4.9615
angles: 90.00 90.00 90.00
Last column: nearest neighbours and their distance in Å.
Element x y z (fractional)
O  0.0000  0.0000  0.0000  6 Te 2.48
Te  0.5000  0.0000  0.0000  2 O 2.48
La  0.5000  0.5000  0.5000  12 Te 3.51
Te  0.0000  0.0000  0.5000  2 O 2.48
Te  0.0000  0.5000  0.0000  2 O 2.48